[1]
# BaLiIn | Alexandria via LeMat-Bulk | PBE | optimized geometry
# **Crystal system**: orthorhombic
# **Energy of formation from the pure elements**: -26.5 kJ/mol of atoms
# **M_tot**: 0.0 μB per formula unit
data_BaLiIn
_chemical_formula_sum 'Ba4 Li4 In4'
_cell_length_a 6.4295
_cell_length_b 6.5487
_cell_length_c 8.9809
_cell_angle_alpha 90.00
_cell_angle_beta 90.00
_cell_angle_gamma 90.00
_symmetry_space_group_name_H-M 'I m m a'
_symmetry_Int_Tables_number 74
_symmetry_space_group_name_Hall '-I 2b 2'
loop_
_atom_site_label
_atom_site_type_symbol
_atom_site_fract_x
_atom_site_fract_y
_atom_site_fract_z
Ba1 Ba 0.0000 0.2500 0.1290
Li1 Li 0.2500 0.2500 0.7500
In1 In 0.0000 0.0000 0.5000


[2]
# Y3Al4Au7 | Alexandria via LeMat-Bulk | PBE | optimized geometry
# **Crystal system**: monoclinic
# **Energy of formation from the pure elements**: -66.5 kJ/mol of atoms
# **M_tot**: 0.0 μB per formula unit
data_Y3Al4Au7
_chemical_formula_sum 'Y6 Al8 Au14'
_cell_length_a 16.4070
_cell_length_b 4.3756
_cell_length_c 9.4574
_cell_angle_alpha 90.00
_cell_angle_beta 125.15
_cell_angle_gamma 90.00
_symmetry_space_group_name_H-M 'C 1 2/m 1'
_symmetry_Int_Tables_number 12
_symmetry_space_group_name_Hall '-C 2y'
loop_
_atom_site_label
_atom_site_type_symbol
_atom_site_fract_x
_atom_site_fract_y
_atom_site_fract_z
Y1 Y 0.0000 0.0000 0.0000
Y2 Y 0.1813 0.5000 0.6757
Al1 Al 0.1279 0.0000 0.8495
Al2 Al 0.1750 0.5000 0.3124
Au1 Au 0.0000 0.0000 0.5000
Au2 Au 0.0025 0.5000 0.7303
Au3 Au 0.1393 0.0000 0.4023
Au4 Au 0.1853 0.5000 0.0549


Q: What is the energy of formation from the pure elements in the first record?
A: -26.5 kJ/mol of atoms